# 1
AlCdGaS4: relaxed, PBE.

Lattice parameters (Å, degrees): 7.3746 7.3746 10.3659 90.00 90.00 90.00
With the nearest neighbours (Å) after each atom.
Space group P4_122 (No. 91)
One atom of each set of equivalent atoms:
1 Al 0.0000 0.2464 0.0000  6 S 2.44
2 Cd 0.2513 0.2513 0.3750  4 S 2.51
3 Ga 0.2472 0.5000 0.7500  6 S 2.48-2.49
4 S 0.0257 0.2458 0.7654  2 Al 2.44, 1 Ga 2.49, 1 Cd 2.51
5 S 0.2457 0.4681 0.9884  1 Al 2.44, 2 Ga 2.48-2.49, 1 Cd 2.51

Output
**Polymorph energy (0 for the lowest one)**: 48.9 kJ/mol of formula units

# 2
ZrSnPt2: relaxed, PBE.

Lattice parameters (Å, degrees): 6.6480 6.6480 6.6480 90.00 90.00 90.00
With the nearest neighbours (Å) after each atom.
Space group F-43m (No. 216)
One atom of each set of equivalent atoms:
1 Zr 0.0000 0.0000 0.0000  4 Sn 2.88, 4 Pt 2.88
2 Sn 0.2500 0.2500 0.7500  4 Zr 2.88, 4 Pt 2.88
3 Pt 0.0000 0.0000 0.5000  4 Pt 2.88, 4 Sn 2.88
4 Pt 0.2500 0.2500 0.2500  4 Zr 2.88, 4 Pt 2.88

Output
**Size of the total moment**: 0.0 μB/cell

# 3
Hf2NbSi2: relaxed, PBE.

Lattice parameters (Å, degrees): 6.8357 6.8357 3.7164 90.00 90.00 90.00
With the nearest neighbours (Å) after each atom.
Space group P4/mbm (No. 127)
One atom of each set of equivalent atoms:
1 Hf 0.1753 0.3247 0.0000  6 Si 2.68-2.79
2 Nb 0.0000 0.0000 0.5000  4 Si 2.70
3 Si 0.1250 0.6250 0.5000  1 Si 2.42, 2 Hf 2.68, 2 Nb 2.70

Output
**Size of the total moment**: 0.0 μB/cell

| no. | uncorrected energy (eV/atom) | theoretical density (Mg/m³) |
| --- | --- | --- |
| 1 | -4.214 | 4.0 |
| 2 | -6.738 | 13.6 |
| 3 | -8.989 | 9.7 |